Entry from the Alexandria database: a geometry-optimized GePb2O5 structure (PBE).

Values from the calculation:
Its symmetry is No. 1. The total energy comes out at -0.2117 Ha/atom. Its formation energy without anion corrections is -1157 meV/atom.

Lattice parameters (Å, degrees): 5.8338 5.8151 7.1671 105.74 132.66 96.85
Sites, in units of the cell vectors:
Ge: 0.9589 0.9972 0.9861
Pb: 0.7795 0.1279 0.3628
Pb: 0.1688 0.5966 0.2118
O: 0.8221 0.2524 0.0892
O: 0.3388 0.2871 0.1729
O: 0.2048 0.7864 0.0069
O: 0.8530 0.8195 0.1129
O: 0.6510 0.9100 0.6115

Entry from the Alexandria database: a geometry-optimized GePb3O structure (PBE).

Values from the calculation:
Its symmetry is No. 221. The distance to the lowest polymorph of the same formula is 0 meV per atom. The total energy comes out at -0.1587 Ha/atom. Its formation energy without anion corrections is -178 meV/atom.

Lattice parameters (Å, degrees): 5.0294 5.0294 5.0294 90.00 90.00 90.00
Sites, in units of the cell vectors:
Ge: 0.5000 0.5000 0.5000
O: 0.0000 0.0000 0.0000
Pb: 0.5000 0.0000 0.0000
Pb: 0.0000 0.0000 0.5000
Pb: 0.0000 0.5000 0.0000

Entry from the Alexandria database: a geometry-optimized GePbO3 structure (PBE).

Values from the calculation:
Its symmetry is No. 148. The total energy comes out at -0.2261 Ha/atom. Its formation energy without anion corrections is -1512 meV/atom.

Lattice parameters (Å, degrees): 9.5094 9.5094 9.5094 113.52 113.52 113.52
Sites, in units of the cell vectors:
Ge: 0.2586 0.6540 0.5214
Ge: 0.3460 0.4786 0.7414
Ge: 0.4786 0.7414 0.3460
Ge: 0.7414 0.3460 0.4786
Ge: 0.5214 0.2586 0.6540
Ge: 0.6540 0.5214 0.2586
O: 0.7145 0.9664 0.4649
O: 0.4531 0.5209 0.2202
O: 0.4791 0.7798 0.5469
O: 0.6823 0.1530 0.2640
O: 0.0336 0.5351 0.2855
O: 0.7798 0.5469 0.4791
O: 0.8470 0.7360 0.3177
O: 0.5209 0.2202 0.4531
O: 0.5469 0.4791 0.7798
O: 0.9664 0.4649 0.7145
O: 0.2202 0.4531 0.5209
O: 0.5351 0.2855 0.0336
O: 0.3177 0.8470 0.7360
O: 0.2640 0.6823 0.1530
O: 0.4649 0.7145 0.9664
O: 0.2855 0.0336 0.5351
O: 0.1530 0.2640 0.6823
O: 0.7360 0.3177 0.8470
Pb: 0.9886 0.2941 0.8269
Pb: 0.1731 0.0114 0.7059
Pb: 0.8269 0.9886 0.2941
Pb: 0.0114 0.7059 0.1731
Pb: 0.7059 0.1731 0.0114
Pb: 0.2941 0.8269 0.9886